# 1
VNi2Ir after structural relaxation. Source: Alexandria via LeMat-Bulk, functional PBE-GGA.

Lattice parameters (Å, degrees): 3.6828 3.6828 7.2730 90.00 90.00 90.00
With the nearest neighbours (Å) after each atom.
Space group I-4m2 (No. 119)
Inequivalent atoms, fractional coordinates:
V  0.0000  0.0000  0.0000 (multiplicity 2)  8 Ni 2.59-2.60, 4 Ir 2.59
Ni  0.0000  0.0000  0.5000 (multiplicity 2)  4 Ni 2.59, 4 Ir 2.59, 4 V 2.60
Ni  0.0000  0.5000  0.7500 (multiplicity 2)  4 Ni 2.59, 4 V 2.59, 4 Ir 2.60
Ir  0.0000  0.5000  0.2500 (multiplicity 2)  8 Ni 2.59-2.60, 4 V 2.59

The value obtained for the electronic total energy is -7.704 eV/atom. As for the formation energy from the elements: -1.272 eV/f.u.

# 2
MnRu2Pt after structural relaxation. Source: Alexandria via LeMat-Bulk, functional PBE-GGA.

Lattice parameters (Å, degrees): 2.6950 3.7907 5.4330 90.00 90.00 90.00
With the nearest neighbours (Å) after each atom.
Space group Pmmm (No. 47)
Inequivalent atoms, fractional coordinates:
Mn  0.0000  0.0000  0.0000 (multiplicity 1)  8 Ru 2.65, 2 Mn 2.70, 2 Pt 2.72
Ru  0.5000  0.5000  0.2325 (multiplicity 2)  3 Ru 2.53-2.70, 4 Mn 2.65, 4 Pt 2.74
Pt  0.0000  0.0000  0.5000 (multiplicity 1)  2 Pt 2.70, 2 Mn 2.72, 8 Ru 2.74

The value obtained for the electronic total energy is -8.403 eV/atom. As for the formation energy from the elements: 0.149 eV/f.u.

# 3
BaLiSe after structural relaxation. Source: Alexandria via LeMat-Bulk, functional PBE-GGA.

Lattice parameters (Å, degrees): 7.5730 7.5730 7.5730 90.00 90.00 90.00
With the nearest neighbours (Å) after each atom.
Space group F-43m (No. 216)
Inequivalent atoms, fractional coordinates:
Ba  0.0000  0.0000  0.0000 (multiplicity 4)  4 Se 3.28, 4 Li 3.28
Li  0.2500  0.2500  0.2500 (multiplicity 4)  4 Ba 3.28
Se  0.2500  0.2500  0.7500 (multiplicity 4)  4 Ba 3.28

The calculation puts the raw formation energy at -0.660 eV per atom. The calculation puts the energy above the most stable polymorph in this dataset at 0.605 eV per atom. The value obtained for the electronic total energy is -3.100 eV/atom.

# 4
CaAc2PuTe4 after structural relaxation. Source: Alexandria via LeMat-Bulk, functional PBE-GGA.

Lattice parameters (Å, degrees): 7.9957 4.5947 8.0024 90.00 109.37 90.00
With the nearest neighbours (Å) after each atom.
Space group P2/m (No. 10)
Inequivalent atoms, fractional coordinates:
Ca  0.0000  0.0000  0.0000 (multiplicity 1)  6 Te 3.18
Ac  0.5000  0.0000  0.5000 (multiplicity 1)  6 Te 3.35
Ac  0.5000  0.5000  0.0000 (multiplicity 1)  6 Te 3.34
Pu  0.0000  0.5000  0.5000 (multiplicity 1)  6 Te 3.18-3.19
Te  0.2309  0.0000  0.7436 (multiplicity 2)  2 Pu 3.18, 1 Ca 3.18, 3 Ac 3.34-3.35
Te  0.2313  0.5000  0.2429 (multiplicity 2)  2 Ca 3.18, 1 Pu 3.19, 3 Ac 3.34-3.35

The calculation puts the raw formation energy at -1.412 eV per atom. The value obtained for the electronic total energy is -6.052 eV/atom.